The following is a DFT calculation (PBE) of crystalline SrYTe at its relaxed geometry.

For the calculated volume, the calculation gives 105.34 Å³/f.u. As for the total magnetization: 1.28 μB/f.u. The crystal system is cubic. As for the formation energy from raw total energies: -49.54 kJ/mol of atoms.

The structure belongs to space group F-43m (No. 216); the cell edges are 7.4971, 7.4971 and 7.4971 Å and the angles 90.00°, 90.00° and 90.00°. Symmetry generates all atoms from Sr at (0.0000, 0.0000, 0.0000), Y at (0.0000, 0.0000, 0.5000) and Te at (0.2500, 0.2500, 0.2500).